(1)
Fe2Ni6Ge after structural relaxation. Source: Alexandria, functional PBE-GGA.

Structure (extended XYZ):
```
9
Lattice="4.2789 -3.4345 0.0000 4.2789 3.4345 0.0000 -1.9778 0.0000 3.6210" Properties=species:S:1:pos:R:3 pbc="T T T"
Fe 1.0723 0.0000 0.5913
Fe 5.5076 0.0000 3.0297
Ni 2.2046 2.1455 1.2125
Ni 4.2789 1.2830 0.0000
Ni 4.3753 2.1455 2.4085
Ni 2.2046 -2.1455 1.2125
Ni 4.2789 -1.2830 0.0000
Ni 4.3753 -2.1455 2.4085
Ge 3.2900 0.0000 1.8105
```

Calculated values
Density = 8371 kg/m3

---

(2)
Fe4NiGe after structural relaxation. Source: Alexandria, functional PBE-GGA.

Structure (extended XYZ):
```
12
Lattice="-2.0915 8.0944 2.0960 2.0915 -8.0944 2.0960 2.0915 8.0944 -2.0960" Properties=species:S:1:pos:R:3 pbc="T T T"
Fe 0.0000 1.3670 0.0179
Fe 2.0915 2.6859 -0.0392
Fe 2.0915 5.4085 -0.0392
Fe 0.0000 6.7273 0.0179
Fe 2.0915 1.3670 2.0780
Fe 0.0000 2.6859 2.1352
Fe 0.0000 5.4085 2.1352
Fe 2.0915 6.7273 2.0780
Ni 0.0000 4.0472 0.0830
Ni 2.0915 4.0472 2.0130
Ge 2.0915 0.0000 0.0000
Ge 0.0000 0.0000 2.0960
```

Calculated values
Density = 8300 kg/m3

---

(3)
Fe2Ni8Ge after structural relaxation. Source: Alexandria, functional PBE-GGA.

Structure (extended XYZ):
```
11
Lattice="-2.0116 2.6626 6.0291 2.0116 -2.6626 6.0291 2.0116 2.6626 -6.0291" Properties=species:S:1:pos:R:3 pbc="T T T"
Fe 0.0000 0.0000 2.2699
Fe 0.0000 0.0000 9.7883
Ni 2.0116 1.2246 -1.7597
Ni 0.0000 1.2276 0.0000
Ni 2.0116 0.0000 3.9143
Ni 2.0116 1.2246 1.7597
Ni 0.0000 1.4380 4.2694
Ni 0.0000 2.6626 2.1148
Ni 0.0000 4.0976 0.0000
Ni 0.0000 1.4380 7.7888
Ge 0.0000 0.0000 6.0291
```

Calculated values
Density = 8406 kg/m3

---

(4)
Fe2Ni15Ge2 after structural relaxation. Source: Alexandria, functional PBE-GGA.

Structure (extended XYZ):
```
19
Lattice="4.0095 2.3149 4.1283 -4.0095 2.3149 4.1283 0.0000 -4.6298 4.1283" Properties=species:S:1:pos:R:3 pbc="T T T"
Fe 0.0000 0.0000 1.1574
Fe 0.0000 0.0000 11.2274
Ni -4.0095 0.0000 6.1924
Ni -1.3077 -2.3648 4.1283
Ni -2.0048 1.1575 2.0641
Ni -2.7018 0.0499 4.1283
Ni -1.9913 -1.1497 6.1614
Ni 1.3077 -2.3648 4.1283
Ni -1.3941 2.3149 4.1283
Ni 0.0000 -2.2994 6.2234
Ni -1.9913 1.1497 6.2234
Ni 2.0048 1.1575 2.0641
Ni 1.9913 -1.1497 6.1614
Ni 0.0000 2.2994 6.1614
Ni 2.7018 0.0499 4.1283
Ni 1.3941 2.3149 4.1283
Ni 1.9913 1.1497 6.2234
Ge 0.0000 0.0000 4.4659
Ge 0.0000 0.0000 7.9189
```

Calculated values
Density = 8215 kg/m3

---

| no. | raw total energy (eV/atom) | energy of formation (eV/atom) | magnetization (μB/atom) |
| --- | --- | --- | --- |
| 1 | -6.24 | 0.008 | 0.849 |
| 2 | -7.37 | 0.000 | 1.565 |
| 3 | -6.19 | -0.023 | 0.767 |
| 4 | -5.82 | 0.125 | 0.643 |